A plane-wave DFT calculation with PBE-GGA was carried out for a relaxed Ho3Si3Ni crystal.

Structure (POSCAR):
```
Ho3Si3Ni
1.0
-3.650 -1.990 0.442
-0.803 -1.760 5.218
-7.372 9.899 3.454
Ho Si Ni
6 6 2
Direct
0.398 0.282 0.921
0.530 0.320 0.620
0.748 0.733 0.772
0.602 0.718 0.079
0.470 0.680 0.380
0.252 0.267 0.228
0.137 0.269 0.457
0.863 0.731 0.543
0.886 0.152 0.076
0.953 0.858 0.236
0.114 0.848 0.924
0.047 0.142 0.764
0.753 0.091 0.403
0.247 0.909 0.597
```

Computed properties:
space-group type = No. 12
crystal system = monoclinic
DOS at the Fermi energy = 0.695 states/eV per atom
raw formation energy = -828 meV/atom
V = 19.46 A^3/atom